one.
An optimized crystal structure of Hg2Mo. Source: the Alexandria database, functional GGA-PBE.

Cell lengths 7.132, 7.132, 5.111 Å; angles 90.00, 90.00, 90.00 degrees
Space group I4/mcm (No. 140)
Inequivalent atoms, fractional coordinates:
Hg (0.172, 0.328, 0.000) [8 per cell]
Mo (0.000, 0.000, 0.250) [4 per cell]

two.
An optimized crystal structure of Hg2Mo. Source: the Alexandria database, functional GGA-PBE.

Cell lengths 7.821, 7.821, 7.821 Å; angles 90.00, 90.00, 90.00 degrees
Space group Fd-3m (No. 227, origin choice 2)
Inequivalent atoms, fractional coordinates:
Hg (0.000, 0.000, 0.000) [16 per cell]
Mo (0.125, 0.125, 0.625) [8 per cell]

three.
An optimized crystal structure of Hg2Mo. Source: the Alexandria database, functional GGA-PBE.

Cell lengths 10.693, 3.163, 8.258 Å; angles 90.00, 115.20, 90.00 degrees
Space group C2/m (No. 12)
Inequivalent atoms, fractional coordinates:
Hg (0.022, 0.000, 0.217) [4 per cell]
Hg (0.158, 0.500, 0.600) [4 per cell]
Mo (0.199, 0.500, 0.064) [4 per cell]

Here are the energies relative to the best structure, in kJ/mol of atoms: one 12.9; two 60.4; three 0.0.

one.
An optimized crystal structure of Hg2Mo. Source: the Alexandria database, functional GGA-PBE.

Cell lengths 2.910, 2.910, 13.858 Å; angles 90.00, 90.00, 90.00 degrees
Space group I4/mmm (No. 139)
Inequivalent atoms, fractional coordinates:
Hg (0.000, 0.000, 0.157) [4 per cell]
Mo (0.000, 0.000, 0.500) [2 per cell]

two.
An optimized crystal structure of Hg2Mo. Source: the Alexandria database, functional GGA-PBE.

Cell lengths 4.893, 3.100, 18.427 Å; angles 90.00, 90.00, 90.00 degrees
Space group Amm2 (No. 38)
Inequivalent atoms, fractional coordinates:
Hg (0.000, 0.000, 0.000) [2 per cell]
Hg (0.000, 0.000, 0.308) [2 per cell]
Hg (0.000, 0.000, 0.650) [2 per cell]
Hg (0.500, 0.000, 0.426) [2 per cell]
Mo (0.500, 0.000, 0.181) [2 per cell]
Mo (0.500, 0.000, 0.780) [2 per cell]

three.
An optimized crystal structure of Hg2Mo. Source: the Alexandria database, functional GGA-PBE.

Cell lengths 5.8328, 5.8328, 9.1535 Å; angles 90.00, 90.00, 120.00 degrees
Space group P6_3/mmc (No. 194)
Inequivalent atoms, fractional coordinates:
Hg (0.0000, 0.0000, 0.0000) [2 per cell]
Hg (0.1736, 0.3471, 0.2500) [6 per cell]
Mo (0.3333, 0.6667, 0.6312) [4 per cell]

four.
An optimized crystal structure of Hg2Mo. Source: the Alexandria database, functional GGA-PBE.

Cell lengths 7.599, 7.599, 2.710 Å; angles 90.00, 90.00, 90.00 degrees
Space group P4_2/mnm (No. 136)
Inequivalent atoms, fractional coordinates:
Hg (0.237, 0.237, 0.000) [4 per cell]
Mo (0.000, 0.000, 0.500) [2 per cell]

Here are the energies relative to the best structure, in kJ/mol of atoms: one 14.4; two 0.0; three 36.7; four 35.2.

one.
An optimized crystal structure of Hg2Mo. Source: the Alexandria database, functional GGA-PBE.

Cell lengths 2.895, 2.895, 28.344 Å; angles 90.00, 90.00, 90.00 degrees
Space group I4_1/amd (No. 141, origin choice 2)
Inequivalent atoms, fractional coordinates:
Hg (0.000, 0.250, 0.297) [8 per cell]
Mo (0.000, 0.250, 0.875) [4 per cell]

two.
An optimized crystal structure of Hg2Mo. Source: the Alexandria database, functional GGA-PBE.

Cell lengths 13.641, 4.466, 4.020 Å; angles 90.00, 90.00, 90.00 degrees
Space group Cmcm (No. 63)
Inequivalent atoms, fractional coordinates:
Hg (0.158, 0.236, 0.250) [8 per cell]
Mo (0.000, 0.325, 0.750) [4 per cell]

three.
An optimized crystal structure of Hg2Mo. Source: the Alexandria database, functional GGA-PBE.

Cell lengths 4.8684, 4.8684, 5.8871 Å; angles 90.00, 90.00, 120.00 degrees
Space group P6_3/mmc (No. 194)
Inequivalent atoms, fractional coordinates:
Hg (0.0000, 0.0000, 0.0000) [2 per cell]
Hg (0.3333, 0.6667, 0.2500) [2 per cell]
Mo (0.3333, 0.6667, 0.7500) [2 per cell]

Here are the energies relative to the best structure, in kJ/mol of atoms: one 0.7; two 0.0; three 30.6.